Record 1
Compound: Li2V3FeO8
Source: Alexandria via LeMat-Bulk
Functional: SCAN
Structure: PBEsol geometry

POSCAR file:
```
Li2V3FeO8
1.0
5.750 0.056 0.040
2.860 4.989 0.040
2.860 1.676 4.700
Li V Fe O
2 3 1 8
direct
0.875 0.875 0.875 Li
0.125 0.125 0.125 Li
0.000 0.500 0.500 V
0.500 0.000 0.500 V
0.500 0.500 0.000 V
0.500 0.500 0.500 Fe
0.740 0.740 0.740 O
0.738 0.738 0.285 O
0.738 0.285 0.738 O
0.285 0.738 0.738 O
0.715 0.262 0.262 O
0.262 0.715 0.262 O
0.262 0.262 0.715 O
0.260 0.260 0.260 O
```

Summary:
DOS(E_F) = 10.7 states/eV/cell
formation energy without anion corrections = -2.38 eV per atom
excess energy over the best structure of this formula in the dataset = 0.68 eV/f.u.
SG = R-3m

Record 2
Compound: Li4Fe3WO8
Source: Alexandria via LeMat-Bulk
Functional: SCAN
Structure: PBEsol geometry

POSCAR file:
```
Li4Fe3WO8
1.0
-0.466 -1.571 5.711
-4.803 -2.871 1.999
0.309 -5.703 1.636
Li Fe W O
4 3 1 8
direct
0.500 0.500 0.500 Li
0.000 0.000 0.500 Li
0.500 0.000 0.000 Li
0.000 0.500 0.000 Li
0.500 0.500 0.000 Fe
0.000 0.500 0.500 Fe
0.500 0.000 0.500 Fe
0.000 0.000 0.000 W
0.258 0.258 0.258 O
0.762 0.762 0.233 O
0.233 0.762 0.762 O
0.742 0.742 0.742 O
0.762 0.233 0.762 O
0.238 0.238 0.767 O
0.767 0.238 0.238 O
0.238 0.767 0.238 O
```

Summary:
DOS(E_F) = 0.9 states/eV/cell
formation energy without anion corrections = -1.94 eV per atom
SG = R-3m

Record 3
Compound: Li11FeW7O28
Source: Alexandria via LeMat-Bulk
Functional: SCAN
Structure: PBEsol geometry

POSCAR file:
```
Li11FeW7O28
1.0
8.161 0.011 0.011
-0.054 8.374 0.025
-0.054 0.053 8.374
Li Fe W O
11 1 7 28
direct
0.096 0.645 0.339 Li
0.096 0.339 0.645 Li
0.354 0.650 0.084 Li
0.359 0.912 0.350 Li
0.354 0.084 0.650 Li
0.359 0.350 0.912 Li
0.642 0.353 0.096 Li
0.642 0.096 0.353 Li
0.638 0.902 0.649 Li
0.638 0.649 0.902 Li
0.908 0.351 0.351 Li
0.878 0.627 0.627 Fe
0.999 0.501 0.990 W
0.999 0.990 0.501 W
0.361 0.357 0.357 W
0.340 0.644 0.644 W
0.503 0.000 0.000 W
0.639 0.649 0.356 W
0.639 0.356 0.649 W
0.147 0.391 0.391 O
0.120 0.625 0.625 O
0.122 0.626 0.112 O
0.122 0.112 0.626 O
0.126 0.877 0.374 O
0.126 0.374 0.877 O
0.378 0.874 0.123 O
0.378 0.123 0.874 O
0.395 0.614 0.400 O
0.395 0.400 0.614 O
0.384 0.389 0.147 O
0.384 0.147 0.389 O
0.382 0.852 0.617 O
0.382 0.617 0.852 O
0.627 0.622 0.146 O
0.627 0.146 0.622 O
0.618 0.859 0.383 O
0.618 0.383 0.859 O
0.611 0.395 0.395 O
0.635 0.614 0.614 O
0.625 0.126 0.126 O
0.628 0.878 0.878 O
0.875 0.385 0.121 O
0.875 0.121 0.385 O
0.875 0.852 0.622 O
0.875 0.622 0.852 O
0.862 0.620 0.400 O
0.862 0.400 0.620 O
```

Summary:
formation energy without anion corrections = -2.31 eV per atom
SG = Cm